A geometry-optimized BaTeP2 structure. Source: Alexandria, functional PBE.

Output
Raw formation energy in kJ/mol of atoms: -19.95
Mass density in g/cm3: 4.85
Crystal system: trigonal
Total magnetization in μB/cell: 0.0
Total DFT energy (no corrections) in eV per cell: -50.1

```
data_BaTeP2
_chemical_formula_sum 'Ba3 Te3 P6'
_cell_length_a 4.2092
_cell_length_b 4.2092
_cell_length_c 21.8885
_cell_angle_alpha 90.00
_cell_angle_beta 90.00
_cell_angle_gamma 120.00
_space_group_name_H-M_alt 'R -3 m'
_space_group_IT_number 166
_space_group_name_Hall '-R 3 2"'
loop_
_atom_site_label
_atom_site_type_symbol
_atom_site_fract_x
_atom_site_fract_y
_atom_site_fract_z
_atom_site_occupancy
Ba1 Ba 0.0000 0.0000 0.0000 1
Te1 Te 0.0000 0.0000 0.5000 1
P1 P 0.0000 0.0000 0.2356 1
```

=====

A geometry-optimized Ho8In2Ag structure. Source: Alexandria, functional PBE.

Output
Mass density in g/cm3: 8.72
Crystal system: monoclinic
Total magnetization in μB/cell: 0.0
Total DFT energy (no corrections) in eV per cell: -93.9

```
data_Ho8In2Ag
_chemical_formula_sum 'Ho16 In4 Ag2'
_cell_length_a 18.478
_cell_length_b 5.156
_cell_length_c 6.764
_cell_angle_alpha 90.00
_cell_angle_beta 101.81
_cell_angle_gamma 90.00
_space_group_name_H-M_alt 'C 1 2/m 1'
_space_group_IT_number 12
_space_group_name_Hall '-C 2y'
loop_
_atom_site_label
_atom_site_type_symbol
_atom_site_fract_x
_atom_site_fract_y
_atom_site_fract_z
_atom_site_occupancy
Ho1 Ho 0.018 0.000 0.265 1
Ho2 Ho 0.093 0.500 0.964 1
Ho3 Ho 0.154 0.500 0.473 1
Ho4 Ho 0.204 0.000 0.798 1
In1 In 0.189 0.000 0.247 1
Ag1 Ag 0.000 0.500 0.500 1
```

=====

A geometry-optimized SmErTh4 structure. Source: Alexandria, functional PBE.

Output
Mass density in g/cm3: 10.68
Energy above the most stable polymorph in this dataset in meV/atom: 0
Crystal system: tetragonal
Total magnetization in μB/cell: 0.0
Total DFT energy (no corrections) in eV per cell: -38.7

```
data_SmErTh4
_chemical_formula_sum 'Sm1 Er1 Th4'
_cell_length_a 3.582
_cell_length_b 3.582
_cell_length_c 15.097
_cell_angle_alpha 90.00
_cell_angle_beta 90.00
_cell_angle_gamma 90.00
_space_group_name_H-M_alt 'P 4/m m m'
_space_group_IT_number 123
_space_group_name_Hall '-P 4 2'
loop_
_atom_site_label
_atom_site_type_symbol
_atom_site_fract_x
_atom_site_fract_y
_atom_site_fract_z
_atom_site_occupancy
Sm1 Sm 0.000 0.000 0.000 1
Er1 Er 0.500 0.500 0.500 1
Th1 Th 0.000 0.000 0.334 1
Th2 Th 0.500 0.500 0.172 1
```

=====

A geometry-optimized Tm3Ni9Ge2Sb structure. Source: Alexandria, functional PBE.

Output
Raw formation energy in kJ/mol of atoms: -18.57
Mass density in g/cm3: 7.95
Crystal system: trigonal
Total magnetization in μB/cell: 0.0
Total DFT energy (no corrections) in eV per cell: -81.7

```
data_Tm3Ni9Ge2Sb
_chemical_formula_sum 'Tm3 Ni9 Ge2 Sb1'
_cell_length_a 5.9506
_cell_length_b 5.9506
_cell_length_c 8.8708
_cell_angle_alpha 90.00
_cell_angle_beta 90.00
_cell_angle_gamma 120.00
_space_group_name_H-M_alt 'P -3 m 1'
_space_group_IT_number 164
_space_group_name_Hall '-P 3 2"'
loop_
_atom_site_label
_atom_site_type_symbol
_atom_site_fract_x
_atom_site_fract_y
_atom_site_fract_z
_atom_site_occupancy
Tm1 Tm 0.0000 0.0000 0.0000 1
Tm2 Tm 0.3333 0.6667 0.7367 1
Ni1 Ni 0.0000 0.5000 0.0000 1
Ni2 Ni 0.1352 0.2705 0.2684 1
Ge1 Ge 0.3333 0.6667 0.1761 1
Sb1 Sb 0.0000 0.0000 0.5000 1
```

=====

A geometry-optimized Y2BOs2 structure. Source: Alexandria, functional PBE.

Output
Mass density in g/cm3: 9.11
Energy above the most stable polymorph in this dataset in meV/atom: 295
Crystal system: tetragonal
Total magnetization in μB/cell: 0.0
Total DFT energy (no corrections) in eV per cell: -80.3

```
data_Y2BOs2
_chemical_formula_sum 'Y4 B2 Os4'
_cell_length_a 5.556
_cell_length_b 5.556
_cell_length_c 6.722
_cell_angle_alpha 90.00
_cell_angle_beta 90.00
_cell_angle_gamma 90.00
_space_group_name_H-M_alt 'I 4/m m m'
_space_group_IT_number 139
_space_group_name_Hall '-I 4 2'
loop_
_atom_site_label
_atom_site_type_symbol
_atom_site_fract_x
_atom_site_fract_y
_atom_site_fract_z
_atom_site_occupancy
Y1 Y 0.000 0.500 0.250 1
B1 B 0.000 0.000 0.000 1
Os1 Os 0.000 0.000 0.303 1
```

=====

A geometry-optimized LiZrTlCo structure. Source: Alexandria, functional PBE.

Output
Mass density in g/cm3: 9.13
Crystal system: cubic
Total magnetization in μB/cell: 3.7
Total DFT energy (no corrections) in eV per cell: -81.0

```
data_LiZrTlCo
_chemical_formula_sum 'Li4 Zr4 Tl4 Co4'
_cell_length_a 6.408
_cell_length_b 6.408
_cell_length_c 6.408
_cell_angle_alpha 90.00
_cell_angle_beta 90.00
_cell_angle_gamma 90.00
_space_group_name_H-M_alt 'F -4 3 m'
_space_group_IT_number 216
_space_group_name_Hall 'F -4 2 3'
loop_
_atom_site_label
_atom_site_type_symbol
_atom_site_fract_x
_atom_site_fract_y
_atom_site_fract_z
_atom_site_occupancy
Li1 Li 0.000 0.000 0.000 1
Zr1 Zr 0.250 0.250 0.250 1
Tl1 Tl 0.250 0.250 0.750 1
Co1 Co 0.000 0.000 0.500 1
```

=====

A geometry-optimized ZnSeS2Cl structure. Source: Alexandria, functional PBE.

Output
Raw formation energy in kJ/mol of atoms: 44.23
Mass density in g/cm3: 3.51
Energy above the most stable polymorph in this dataset in meV/atom: 0
Crystal system: tetragonal
Total magnetization in μB/cell: 0.0
Total DFT energy (no corrections) in eV per cell: -12.6

```
data_ZnSeS2Cl
_chemical_formula_sum 'Zn1 Se1 S2 Cl1'
_cell_length_a 4.893
_cell_length_b 4.893
_cell_length_c 4.818
_cell_angle_alpha 90.00
_cell_angle_beta 90.00
_cell_angle_gamma 90.00
_space_group_name_H-M_alt 'P 4/m m m'
_space_group_IT_number 123
_space_group_name_Hall '-P 4 2'
loop_
_atom_site_label
_atom_site_type_symbol
_atom_site_fract_x
_atom_site_fract_y
_atom_site_fract_z
_atom_site_occupancy
Zn1 Zn 0.000 0.000 0.000 1
Se1 Se 0.500 0.500 0.500 1
S1 S 0.000 0.500 0.500 1
Cl1 Cl 0.500 0.500 0.000 1
```

=====

A geometry-optimized Zn2As2O7 structure. Source: Alexandria, functional PBE.

Output
Raw formation energy in kJ/mol of atoms: -124.24
Mass density in g/cm3: 4.58
Energy above the most stable polymorph in this dataset in meV/atom: 13
Crystal system: monoclinic
Total magnetization in μB/cell: 0.0
Total DFT energy (no corrections) in eV per cell: -728.6

```
data_Zn2As2O7
_chemical_formula_sum 'Zn24 As24 O84'
_cell_length_a 20.568
_cell_length_b 8.569
_cell_length_c 9.824
_cell_angle_alpha 90.00
_cell_angle_beta 99.38
_cell_angle_gamma 90.00
_space_group_name_H-M_alt 'C 1 2/c 1'
_space_group_IT_number 15
_space_group_name_Hall '-C 2yc'
loop_
_atom_site_label
_atom_site_type_symbol
_atom_site_fract_x
_atom_site_fract_y
_atom_site_fract_z
_atom_site_occupancy
Zn1 Zn 0.017 0.185 0.041 1
Zn2 Zn 0.163 0.317 0.165 1
Zn3 Zn 0.186 0.313 0.712 1
As1 As 0.067 0.483 0.868 1
As2 As 0.100 0.003 0.316 1
As3 As 0.241 0.019 0.539 1
O1 O 0.000 0.402 0.750 1
O2 O 0.032 0.011 0.897 1
O3 O 0.051 0.346 0.439 1
O4 O 0.085 0.334 0.985 1
O5 O 0.093 0.160 0.206 1
O6 O 0.117 0.161 0.737 1
O7 O 0.131 0.497 0.774 1
O8 O 0.161 0.066 0.456 1
O9 O 0.207 0.491 0.580 1
O10 O 0.237 0.155 0.124 1
O11 O 0.244 0.327 0.350 1
```

=====

A geometry-optimized GdBi2Pd structure. Source: Alexandria, functional PBE.

Output
Mass density in g/cm3: 9.99
Crystal system: trigonal
Total magnetization in μB/cell: 22.4
Total DFT energy (no corrections) in eV per cell: -82.1

```
data_GdBi2Pd
_chemical_formula_sum 'Gd3 Bi6 Pd3'
_cell_length_a 3.5360
_cell_length_b 3.5360
_cell_length_c 31.3810
_cell_angle_alpha 90.00
_cell_angle_beta 90.00
_cell_angle_gamma 120.00
_space_group_name_H-M_alt 'R -3 m'
_space_group_IT_number 166
_space_group_name_Hall '-R 3 2"'
loop_
_atom_site_label
_atom_site_type_symbol
_atom_site_fract_x
_atom_site_fract_y
_atom_site_fract_z
_atom_site_occupancy
Gd1 Gd 0.0000 0.0000 0.0000 1
Bi1 Bi 0.0000 0.0000 0.1023 1
Pd1 Pd 0.0000 0.0000 0.5000 1
```

=====

A geometry-optimized Tl2HOs structure. Source: Alexandria, functional PBE.

Output
Mass density in g/cm3: 13.69
Energy above the most stable polymorph in this dataset in meV/atom: 0
Crystal system: cubic
Total magnetization in μB/cell: 4.4
Total DFT energy (no corrections) in eV per cell: -57.4

```
data_Tl2HOs
_chemical_formula_sum 'Tl8 H4 Os4'
_cell_length_a 6.627
_cell_length_b 6.627
_cell_length_c 6.627
_cell_angle_alpha 90.00
_cell_angle_beta 90.00
_cell_angle_gamma 90.00
_space_group_name_H-M_alt 'F m -3 m'
_space_group_IT_number 225
_space_group_name_Hall '-F 4 2 3'
loop_
_atom_site_label
_atom_site_type_symbol
_atom_site_fract_x
_atom_site_fract_y
_atom_site_fract_z
_atom_site_occupancy
Tl1 Tl 0.250 0.250 0.250 1
H1 H 0.000 0.000 0.000 1
Os1 Os 0.000 0.000 0.500 1
```

=====

What did the tenth record say?
A geometry-optimized Tl2HOs structure. Source: Alexandria, functional PBE.

Output
Mass density in g/cm3: 13.69
Energy above the most stable polymorph in this dataset in meV/atom: 0
Crystal system: cubic
Total magnetization in μB/cell: 4.4
Total DFT energy (no corrections) in eV per cell: -57.4

```
data_Tl2HOs
_chemical_formula_sum 'Tl8 H4 Os4'
_cell_length_a 6.627
_cell_length_b 6.627
_cell_length_c 6.627
_cell_angle_alpha 90.00
_cell_angle_beta 90.00
_cell_angle_gamma 90.00
_space_group_name_H-M_alt 'F m -3 m'
_space_group_IT_number 225
_space_group_name_Hall '-F 4 2 3'
loop_
_atom_site_label
_atom_site_type_symbol
_atom_site_fract_x
_atom_site_fract_y
_atom_site_fract_z
_atom_site_occupancy
Tl1 Tl 0.250 0.250 0.250 1
H1 H 0.000 0.000 0.000 1
Os1 Os 0.000 0.000 0.500 1
```